A relaxed structure of LiTcAs2. Source: Alexandria, functional PBE. Values from VASP.

Results
E_form (eV/atom): -0.058
Final energy (eV/atom): -5.453

```
&SYSTEM
  ibrav = 0, nat = 4, ntyp = 3
/
ATOMIC_SPECIES
As 74.92 As.upf
Tc 98.00 Tc.upf
Li 6.94 Li.upf
CELL_PARAMETERS angstrom
-1.082 0.511 -3.198
-0.415 -3.366 -0.398
-4.932 0.403 1.733
ATOMIC_POSITIONS crystal
As 0.500 0.500 0.298
Tc 0.500 0.500 0.776
As 0.000 0.000 0.957
Li 0.000 0.000 0.469
```